Density functional theory data (PBE) for crystalline K2LaPu3O12 at its relaxed geometry.

Lattice parameters (Å, degrees): 8.1300 8.1300 16.1072 90.00 90.00 120.00
Space group R-3m (No. 166, hexagonal axes)
One atom of each set of equivalent atoms:
K (0.0000, 0.0000, 0.1124) x6
La (0.0000, 0.0000, 0.5000) x3
Pu (0.0000, 0.5000, 0.0000) x9
O (0.0459, 0.5229, 0.8859) x18
O (0.0986, 0.5493, 0.3013) x18

Formation energy from raw total energies   -2.541 eV per atom
Density   6.17 g/cm³
Total magnetic moment   15.0 Bohr magnetons per cell

=====

Density functional theory data (PBE) for crystalline PrSmY6 at its relaxed geometry.

Lattice parameters (Å, degrees): 9.7055 9.7055 9.9818 90.00 90.00 120.00
Space group R-3 (No. 148, hexagonal axes)
One atom of each set of equivalent atoms:
Pr (0.0000, 0.0000, 0.0000) x3
Sm (0.0000, 0.0000, 0.5000) x3
Y (0.0006, 0.7075, 0.2506) x18

Distance to the lowest polymorph of the same formula   0 meV/atom
Density   5.05 g/cm³
Total magnetic moment   0.0 Bohr magnetons per cell